Here is a geometry-optimized ThGa2CuPt2 structure from Alexandria via LeMat-Bulk. Energies are from GGA-PBE.

Cell: 4.3387 4.3387 6.7750 Å, 90.00 90.00 120.00°
Positions (direct):
Th: 0.0000 0.0000 0.0000
Ga: 0.3333 0.6667 0.3358
Ga: 0.6667 0.3333 0.6642
Cu: 0.0000 0.0000 0.5000
Pt: 0.3333 0.6667 0.7293
Pt: 0.6667 0.3333 0.2707

Output
E, eV per atom: -5.734
Formation energy, eV per atom: -0.79
Total magnetic moment, μB per formula unit: 0.00